[1]
Dy4Tl2AsSe after structural relaxation, computed with PBE-GGA.

magnetization: 0.00 μB per formula unit
final energy: -0.1799 Ha/atom
formation energy (no corrections): -0.9865 eV per atom

Unit cell a=6.9099 b=3.9785 c=8.2162 alpha=90.00 beta=106.24 gamma=90.00
Atoms (fractional coordinates):
Dy  0.2342  0.0000  0.2146
Dy  0.2555  0.5000  0.7818
Dy  0.7445  0.5000  0.2182
Dy  0.7658  0.0000  0.7854
Tl  0.0000  0.0000  0.5000
Tl  0.5000  0.5000  0.5000
As  0.0000  0.5000  0.0000
Se  0.5000  0.0000  0.0000

[2]
Cs3Sm3HfS8 after structural relaxation, computed with PBE-GGA.

magnetization: 0.00 μB per formula unit
final energy: -0.2120 Ha/atom
formation energy (no corrections): -1.7895 eV per atom

Unit cell a=9.4797 b=9.4797 c=9.4797 alpha=50.77 beta=50.77 gamma=50.77
Atoms (fractional coordinates):
Cs  0.0000  0.5000  0.5000
Cs  0.5000  0.0000  0.5000
Cs  0.5000  0.5000  0.0000
Sm  0.0000  0.0000  0.5000
Sm  0.0000  0.5000  0.0000
Sm  0.5000  0.0000  0.0000
Hf  0.5000  0.5000  0.5000
S  0.2282  0.2282  0.2282
S  0.2501  0.7124  0.7124
S  0.2876  0.2876  0.7499
S  0.2876  0.7499  0.2876
S  0.7124  0.2501  0.7124
S  0.7124  0.7124  0.2501
S  0.7499  0.2876  0.2876
S  0.7718  0.7718  0.7718

[3]
Y6CdRu after structural relaxation, computed with PBE-GGA.

magnetization: 0.00 μB per formula unit
final energy: -0.2249 Ha/atom
energy of formation: 0.003 eV per atom

Unit cell a=6.8611 b=6.8714 c=7.4985 alpha=90.10 beta=117.10 gamma=119.94
Atoms (fractional coordinates):
Y  0.0397  0.0827  0.2566
Y  0.2995  0.7167  0.2563
Y  0.3249  0.5424  0.7436
Y  0.6751  0.4576  0.2564
Y  0.7005  0.2833  0.7437
Y  0.9603  0.9173  0.7434
Cd  0.5000  0.0000  0.0000
Ru  0.5000  0.5000  0.5000

[4]
Si2OsW2 after structural relaxation, computed with PBE-GGA.

magnetization: 0.00 μB per formula unit
E above lowest polymorph: 827 meV per atom
final energy: -0.3248 Ha/atom
formation energy (no corrections): 0.7571 eV per atom

Unit cell a=3.8446 b=3.8446 c=10.6964 alpha=90.00 beta=90.00 gamma=90.00
Atoms (fractional coordinates):
Si  0.0000  0.0000  0.1006
Si  0.0000  0.0000  0.8994
Si  0.5000  0.5000  0.3994
Si  0.5000  0.5000  0.6006
Os  0.0000  0.0000  0.5000
Os  0.5000  0.5000  0.0000
W  0.0000  0.5000  0.2500
W  0.0000  0.5000  0.7500
W  0.5000  0.0000  0.2500
W  0.5000  0.0000  0.7500

[5]
PmErCuRu after structural relaxation, computed with PBE-GGA.

magnetization: 0.00 μB per formula unit
E above lowest polymorph: 11 meV per atom
final energy: -0.2181 Ha/atom
energy of formation: -0.265 eV per atom

Unit cell a=4.4735 b=3.6695 c=10.5146 alpha=90.00 beta=90.00 gamma=90.00
Atoms (fractional coordinates):
Pm  0.0000  0.0000  0.0000
Pm  0.0000  0.5000  0.5000
Er  0.5000  0.0000  0.7168
Er  0.5000  0.5000  0.2168
Cu  0.5000  0.0000  0.4274
Cu  0.5000  0.5000  0.9274
Ru  0.0000  0.0000  0.2747
Ru  0.0000  0.5000  0.7747

[6]
Y2PtF after structural relaxation, computed with PBE-GGA.

magnetization: 0.00 μB per formula unit
E above lowest polymorph: 603 meV per atom
final energy: -0.2283 Ha/atom
formation energy (no corrections): -1.0023 eV per atom

Unit cell a=3.2355 b=3.2355 c=27.3001 alpha=90.00 beta=90.00 gamma=120.00
Atoms (fractional coordinates):
Y  0.0000  0.0000  0.0969
Y  0.0000  0.0000  0.9031
Y  0.3333  0.6667  0.5697
Y  0.3333  0.6667  0.7636
Y  0.6667  0.3333  0.2364
Y  0.6667  0.3333  0.4303
Pt  0.0000  0.0000  0.0000
Pt  0.3333  0.6667  0.6667
Pt  0.6667  0.3333  0.3333
F  0.0000  0.0000  0.5000
F  0.3333  0.6667  0.1667
F  0.6667  0.3333  0.8333

| no. | density of states at the Fermi level (states/eV/cell) |
| --- | --- |
| 1 | 3.679 |
| 2 | 0.000 |
| 3 | 10.973 |
| 4 | 14.556 |
| 5 | 5.786 |
| 6 | 6.103 |